The following is a GGA-PBE calculation of RbCuTcSe2S after structural relaxation, from OQMD.

Computed properties:
The calculation puts the spin magnetization at 5.088 μB per cell. The total DFT energy (no corrections) is -4.811 eV/atom.

Lattice parameters (Å, degrees): 7.9198 7.9198 9.6525 90.00 90.00 152.64
Element x y z (fractional)
Rb: 0.2438 0.7562 0.7500
Rb: 0.7562 0.2438 0.2500
Cu: 0.0296 0.9704 0.2500
Cu: 0.9704 0.0296 0.7500
Tc: 0.5000 0.5000 0.0000
Tc: 0.5000 0.5000 0.5000
Se: 0.1138 0.8862 0.0412
Se: 0.1138 0.8862 0.4588
Se: 0.8862 0.1138 0.5412
Se: 0.8862 0.1138 0.9588
S: 0.4440 0.5560 0.2500
S: 0.5560 0.4440 0.7500



The following is a GGA-PBE calculation of CsHoPbSe3 after structural relaxation, from OQMD.

Computed properties:
The distance to the lowest polymorph of the same formula is 0.00 eV per formula unit. The calculation puts the spin magnetization at 0.003 μB per cell.

Lattice parameters (Å, degrees): 9.6048 9.6048 10.0642 100.59 100.59 25.84
Element x y z (fractional)
Cs: 0.1527 0.1527 0.0662
Cs: 0.8473 0.8473 0.9338
Ho: 0.1700 0.1700 0.5691
Ho: 0.8300 0.8300 0.4309
Pb: 0.4959 0.4959 0.2819
Pb: 0.5041 0.5041 0.7181
Se: 0.0000 0.0000 0.5000
Se: 0.3236 0.3236 0.6220
Se: 0.3392 0.3392 0.2445
Se: 0.5000 0.5000 0.0000
Se: 0.6608 0.6608 0.7555
Se: 0.6764 0.6764 0.3780



The following is a GGA-PBE calculation of KLiNiMo after structural relaxation, from OQMD.

Computed properties:
The distance to the lowest polymorph of the same formula is 0.00 eV per formula unit. The calculation puts the spin magnetization at 15.537 μB per cell.

Lattice parameters (Å, degrees): 6.8426 6.8426 6.8426 90.00 90.00 90.00
Element x y z (fractional)
K: 0.0000 0.0000 0.0000
K: 0.0000 0.5000 0.5000
K: 0.5000 0.0000 0.5000
K: 0.5000 0.5000 0.0000
Li: 0.2500 0.2500 0.7500
Li: 0.2500 0.7500 0.2500
Li: 0.7500 0.2500 0.2500
Li: 0.7500 0.7500 0.7500
Ni: 0.2500 0.2500 0.2500
Ni: 0.2500 0.7500 0.7500
Ni: 0.7500 0.2500 0.7500
Ni: 0.7500 0.7500 0.2500
Mo: 0.0000 0.0000 0.5000
Mo: 0.0000 0.5000 0.0000
Mo: 0.5000 0.0000 0.0000
Mo: 0.5000 0.5000 0.5000



The following is a GGA-PBE calculation of UGaIr after structural relaxation, from OQMD.

Computed properties:
The calculation puts the spin magnetization at 8.121 μB per cell. The total DFT energy (no corrections) is -8.013 eV/atom.

Lattice parameters (Å, degrees): 6.3639 6.3639 6.3639 90.00 90.00 90.00
Element x y z (fractional)
U: 0.0000 0.0000 0.0000
U: 0.0000 0.5000 0.5000
U: 0.5000 0.0000 0.5000
U: 0.5000 0.5000 0.0000
Ga: 0.0000 0.0000 0.5000
Ga: 0.0000 0.5000 0.0000
Ga: 0.5000 0.0000 0.0000
Ga: 0.5000 0.5000 0.5000
Ir: 0.2500 0.2500 0.7500
Ir: 0.2500 0.7500 0.2500
Ir: 0.7500 0.2500 0.2500
Ir: 0.7500 0.7500 0.7500



The following is a GGA-PBE calculation of NdGdTlNi2 after structural relaxation, from OQMD.

Computed properties:
The calculation puts the spin magnetization at 0.001 μB per cell. The total DFT energy (no corrections) is -5.015 eV/atom.

Lattice parameters (Å, degrees): 3.7464 3.9702 14.6784 90.00 90.00 90.00
Element x y z (fractional)
Nd: 0.0000 0.0000 0.0000
Nd: 0.0000 0.5000 0.5000
Gd: 0.0000 0.0000 0.2764
Gd: 0.0000 0.5000 0.7764
Tl: 0.5000 0.0000 0.6405
Tl: 0.5000 0.5000 0.1405
Ni: 0.5000 0.0000 0.4329
Ni: 0.5000 0.0000 0.8369
Ni: 0.5000 0.5000 0.3369
Ni: 0.5000 0.5000 0.9329



The following is a GGA-PBE calculation of CdGeSO after structural relaxation, from OQMD.

Computed properties:
The distance to the lowest polymorph of the same formula is 0.42 eV per formula unit.

Lattice parameters (Å, degrees): 6.0005 7.6749 7.7728 90.00 90.00 90.00
Element x y z (fractional)
Cd: 0.2298 0.1049 0.4654
Cd: 0.2702 0.8951 0.9654
Cd: 0.7298 0.3951 0.5346
Cd: 0.7702 0.6049 0.0346
Ge: 0.2372 0.6777 0.3328
Ge: 0.2628 0.3223 0.8328
Ge: 0.7372 0.8223 0.6672
Ge: 0.7628 0.1777 0.1672
S: 0.0257 0.0493 0.7578
S: 0.4743 0.9507 0.2578
S: 0.5257 0.4507 0.2422
S: 0.9743 0.5493 0.7422
O: 0.0846 0.7085 0.1376
O: 0.4154 0.2915 0.6376
O: 0.5846 0.7915 0.8624
O: 0.9154 0.2085 0.3624



The following is a GGA-PBE calculation of TmPbW after structural relaxation, from OQMD.

Computed properties:
The distance to the lowest polymorph of the same formula is 0.00 eV per formula unit. The calculation puts the spin magnetization at 5.962 μB per cell.

Lattice parameters (Å, degrees): 6.8167 6.8167 6.8167 90.00 90.00 90.00
Element x y z (fractional)
Tm: 0.0000 0.0000 0.0000
Tm: 0.0000 0.5000 0.5000
Tm: 0.5000 0.0000 0.5000
Tm: 0.5000 0.5000 0.0000
Pb: 0.0000 0.0000 0.5000
Pb: 0.0000 0.5000 0.0000
Pb: 0.5000 0.0000 0.0000
Pb: 0.5000 0.5000 0.5000
W: 0.2500 0.2500 0.7500
W: 0.2500 0.7500 0.2500
W: 0.7500 0.2500 0.2500
W: 0.7500 0.7500 0.7500



The following is a GGA-PBE calculation of ScFeNiAs after structural relaxation, from OQMD.

Computed properties:
The distance to the lowest polymorph of the same formula is 0.74 eV per formula unit. The calculation puts the spin magnetization at 9.469 μB per cell.

Lattice parameters (Å, degrees): 6.1142 6.1142 6.1142 90.00 90.00 90.00
Element x y z (fractional)
Sc: 0.0000 0.0000 0.0000
Sc: 0.0000 0.5000 0.5000
Sc: 0.5000 0.0000 0.5000
Sc: 0.5000 0.5000 0.0000
Fe: 0.2500 0.2500 0.2500
Fe: 0.2500 0.7500 0.7500
Fe: 0.7500 0.2500 0.7500
Fe: 0.7500 0.7500 0.2500
Ni: 0.0000 0.0000 0.5000
Ni: 0.0000 0.5000 0.0000
Ni: 0.5000 0.0000 0.0000
Ni: 0.5000 0.5000 0.5000
As: 0.2500 0.2500 0.7500
As: 0.2500 0.7500 0.2500
As: 0.7500 0.2500 0.2500
As: 0.7500 0.7500 0.7500



The following is a GGA-PBE calculation of SrTbTe after structural relaxation, from OQMD.

Computed properties:
The calculation puts the spin magnetization at 0.019 μB per cell. The total DFT energy (no corrections) is -3.652 eV/atom.

Lattice parameters (Å, degrees): 7.4597 7.4597 7.4597 90.00 90.00 90.00
Element x y z (fractional)
Sr: 0.0000 0.0000 0.0000
Sr: 0.0000 0.5000 0.5000
Sr: 0.5000 0.0000 0.5000
Sr: 0.5000 0.5000 0.0000
Tb: 0.0000 0.0000 0.5000
Tb: 0.0000 0.5000 0.0000
Tb: 0.5000 0.0000 0.0000
Tb: 0.5000 0.5000 0.5000
Te: 0.2500 0.2500 0.2500
Te: 0.2500 0.7500 0.7500
Te: 0.7500 0.2500 0.7500
Te: 0.7500 0.7500 0.2500



The following is a GGA-PBE calculation of UCo6Ge4 after structural relaxation, from OQMD.

Computed properties:
The calculation puts the spin magnetization at 1.245 μB per cell. The total DFT energy (no corrections) is -6.848 eV/atom.

Lattice parameters (Å, degrees): 6.7878 6.7878 3.6739 90.00 90.00 120.00
Element x y z (fractional)
U: 0.0000 0.0000 0.0000
Co: 0.2004 0.4008 0.5000
Co: 0.2004 0.7996 0.5000
Co: 0.5339 0.0678 0.0000
Co: 0.5339 0.4661 0.0000
Co: 0.5992 0.7996 0.5000
Co: 0.9322 0.4661 0.0000
Ge: 0.3333 0.6667 0.0000
Ge: 0.3942 0.1971 0.5000
Ge: 0.8029 0.1971 0.5000
Ge: 0.8029 0.6058 0.5000



The following is a GGA-PBE calculation of BaPt after structural relaxation, from OQMD.

Computed properties:
The calculation puts the spin magnetization at 0.010 μB per cell. The total DFT energy (no corrections) is -4.590 eV/atom.

Lattice parameters (Å, degrees): 4.4180 4.4180 11.6443 90.00 90.00 120.00
Element x y z (fractional)
Ba: 0.0000 0.0000 0.0000
Ba: 0.3333 0.6667 0.6667
Ba: 0.6667 0.3333 0.3333
Pt: 0.0000 0.0000 0.5000
Pt: 0.3333 0.6667 0.1667
Pt: 0.6667 0.3333 0.8333



The following is a GGA-PBE calculation of AcLaPr after structural relaxation, from OQMD.

Computed properties:
The distance to the lowest polymorph of the same formula is 0.00 eV per formula unit. The value obtained for the formation energy is 0.614 eV per atom. The calculation puts the spin magnetization at 0.067 μB per cell.

Lattice parameters (Å, degrees): 8.1309 8.1309 8.1309 90.00 90.00 90.00
Element x y z (fractional)
Ac: 0.0000 0.0000 0.0000
Ac: 0.0000 0.5000 0.5000
Ac: 0.5000 0.0000 0.5000
Ac: 0.5000 0.5000 0.0000
La: 0.0000 0.0000 0.5000
La: 0.0000 0.5000 0.0000
La: 0.5000 0.0000 0.0000
La: 0.5000 0.5000 0.5000
Pr: 0.2500 0.2500 0.2500
Pr: 0.2500 0.7500 0.7500
Pr: 0.7500 0.2500 0.7500
Pr: 0.7500 0.7500 0.2500